Na4Ca3MoO8: relaxed, PBE+U.

Computed properties:
The value obtained for the calculated total energy is -5.751 eV per atom.

abc: 6.731 6.731 6.731
angles: 59.68 59.68 59.68
Sites, in units of the cell vectors:
1 Na 0.000 0.000 0.000
2 Na 0.000 0.500 0.500
3 Na 0.500 0.000 0.500
4 Na 0.500 0.500 0.000
5 Ca 0.000 0.000 0.500
6 Ca 0.000 0.500 0.000
7 Ca 0.500 0.000 0.000
8 Mo 0.500 0.500 0.500
9 O 0.240 0.240 0.240
10 O 0.286 0.709 0.709
11 O 0.291 0.291 0.714
12 O 0.291 0.714 0.291
13 O 0.709 0.286 0.709
14 O 0.709 0.709 0.286
15 O 0.714 0.291 0.291
16 O 0.760 0.760 0.760